(1)
LiGa3Ag2 | PBE | relaxed

POSCAR file:
```
LiGa3Ag2
1.0
2.4506 -4.6210 0.0000
2.4506 4.6210 0.0000
0.0000 0.0000 4.5469
Li Ga Ag
1 3 2
Direct
0.0000 0.0000 0.0000
0.1645 0.8355 0.5000
0.5000 0.5000 0.5000
0.8355 0.1645 0.5000
0.3345 0.6655 0.0000
0.6655 0.3345 0.0000
```

Properties
E in eV/atom: -2.89
Calculated formation energy in eV/f.u.: -0.6
Offset from the most stable computed form in eV per atom: 0.000
DOS at the Fermi energy in states/eV/cell: 1.903

=====

(2)
MgNi5P3 | PBE | relaxed

POSCAR file:
```
MgNi5P3
1.0
1.7238 -5.8803 0.0000
1.7238 5.8803 0.0000
0.0000 0.0000 11.5784
Mg Ni P
2 10 6
Direct
0.1269 0.8731 0.7500
0.8731 0.1269 0.2500
0.0000 0.0000 0.0000
0.0000 0.0000 0.5000
0.2010 0.7990 0.0747
0.2010 0.7990 0.4253
0.4561 0.5439 0.6464
0.4561 0.5439 0.8536
0.5439 0.4561 0.1464
0.5439 0.4561 0.3536
0.7990 0.2010 0.5747
0.7990 0.2010 0.9253
0.1218 0.8782 0.2500
0.3803 0.6197 0.0419
0.3803 0.6197 0.4581
0.6197 0.3803 0.5419
0.6197 0.3803 0.9581
0.8782 0.1218 0.7500
```

Properties
E in eV/atom: -5.68
Calculated formation energy in eV/f.u.: -4.4
DOS at the Fermi energy in states/eV/cell: 8.688